# 1
This record from Alexandria via LeMat-Bulk describes an optimized crystal structure of Na2TiBiO4. The functional is PBE.

Computed properties:
* E: -6.176 eV/atom

abc: 5.8829 6.1763 7.5317
angles: 90.00 90.00 90.00
Closest atoms and distances in Å follow each position.
Positions (direct):
O 0.3302 0.1684 0.0000  1 Ti 1.90
O 0.4120 0.1150 0.5000  1 Ti 1.82
O 0.4076 0.6972 0.7025  1 Ti 1.84
O 0.4076 0.6972 0.2975  1 Ti 1.84
O 0.8302 0.8316 0.5000  1 Ti 1.90
O 0.9076 0.3028 0.7975  1 Ti 1.84
O 0.9076 0.3028 0.2025  1 Ti 1.84
O 0.9120 0.8850 0.0000  1 Ti 1.82
Ti 0.5075 0.8354 0.5000  4 O 1.82-1.90
Ti 0.0075 0.1646 0.0000  4 O 1.82-1.90
Na 0.4946 0.3286 0.7453  4 O 2.32-2.47
Na 0.4946 0.3286 0.2547  4 O 2.32-2.47
Na 0.9946 0.6714 0.2453  4 O 2.32-2.47
Na 0.9946 0.6714 0.7547  4 O 2.32-2.47
Bi 0.9458 0.1740 0.5000  3 O 2.22-2.39
Bi 0.4458 0.8260 0.0000  3 O 2.22-2.39

# 2
This record from Alexandria via LeMat-Bulk describes an optimized crystal structure of LiHg2Pb6. The functional is PBE.

Computed properties:
* relative energy among the computed polymorphs: 0.0 meV per atom
* calculated formation energy: -45 meV per atom

abc: 3.5367 8.5159 8.9013
angles: 81.56 78.54 78.02
Closest atoms and distances in Å follow each position.
Positions (direct):
Pb 0.0463 0.0912 0.8161  2 Hg 3.37, 10 Pb 3.40-3.60
Pb 0.6783 0.1793 0.4642  2 Li 3.25, 9 Pb 3.47-3.55, 2 Hg 3.48-3.53
Pb 0.9537 0.9088 0.1839  2 Hg 3.37, 10 Pb 3.40-3.60
Pb 0.3074 0.2724 0.1127  3 Hg 3.29-3.32, 8 Pb 3.50-3.60
Pb 0.6926 0.7276 0.8873  3 Hg 3.29-3.32, 8 Pb 3.50-3.60
Pb 0.3217 0.8207 0.5358  2 Li 3.25, 9 Pb 3.47-3.55, 2 Hg 3.48-3.53
Li 0.0000 0.5000 0.5000  4 Hg 2.83
Hg 0.4057 0.4362 0.7524  2 Li 2.83
Hg 0.5943 0.5638 0.2476  2 Li 2.83

# 3
This record from Alexandria via LeMat-Bulk describes an optimized crystal structure of Na4Np3Te8Pb. The functional is PBE.

Computed properties:
* E: -5.327 eV/atom

abc: 9.0778 9.1162 9.0804
angles: 119.90 119.99 90.00
Closest atoms and distances in Å follow each position.
Positions (direct):
Te 0.2513 0.7346 0.9838  2 Np 3.11, 3 Na 3.21-3.33, 1 Pb 3.23
Te 0.7441 0.7324 0.4883  3 Np 3.14, 3 Na 3.29
Te 0.2676 0.2654 0.0162  2 Np 3.11, 3 Na 3.21-3.33, 1 Pb 3.23
Te 0.7489 0.2649 0.4978  2 Np 3.11, 3 Na 3.21-3.32, 1 Pb 3.23
Te 0.2559 0.2676 0.5117  3 Np 3.14, 3 Na 3.29
Te 0.7324 0.7346 0.9838  2 Np 3.11, 3 Na 3.21-3.33, 1 Pb 3.23
Te 0.7487 0.2654 0.0162  2 Np 3.11, 3 Na 3.21-3.33, 1 Pb 3.23
Te 0.2511 0.7351 0.5022  2 Np 3.11, 3 Na 3.21-3.32, 1 Pb 3.23
Na 0.5000 0.0000 0.5000  6 Te 3.29-3.32
Na 0.0000 0.0000 0.5000  6 Te 3.29-3.32
Na 0.0000 0.0000 0.0000  6 Te 3.29-3.33
Na 0.5000 0.0000 0.0000  6 Te 3.21
Pb 0.0000 0.5000 0.0000  6 Te 3.23
Np 0.5000 0.5000 0.0000  6 Te 3.11-3.14
Np 0.5000 0.5000 0.5000  6 Te 3.11-3.14
Np 0.0000 0.5000 0.5000  6 Te 3.11-3.14

# 4
This record from Alexandria via LeMat-Bulk describes an optimized crystal structure of DyFe2B. The functional is PBE.

Computed properties:
* calculated formation energy: -142 meV per atom

abc: 3.7137 3.7137 5.3283
angles: 69.61 69.61 60.00
Closest atoms and distances in Å follow each position.
Positions (direct):
Fe 0.6876 0.6876 0.9371  3 B 2.17, 3 Fe 2.23
Fe 0.3124 0.3124 0.0629  3 B 2.17, 3 Fe 2.23
B 0.0000 0.0000 0.0000  6 Fe 2.17
Dy 0.5000 0.5000 0.5000  8 Fe 2.75-3.02

# 5
This record from Alexandria via LeMat-Bulk describes an optimized crystal structure of DyAlZnAu2. The functional is PBE.

Computed properties:
* calculated formation energy: -605 meV per atom

abc: 3.9994 3.9994 6.8264
angles: 107.03 107.03 90.00
Closest atoms and distances in Å follow each position.
Positions (direct):
Dy 0.0000 0.0000 0.0000  8 Au 3.15
Al 0.7500 0.2500 0.5000  4 Au 2.64, 4 Zn 2.83
Zn 0.2500 0.7500 0.5000  4 Au 2.64, 4 Al 2.83
Au 0.6109 0.6109 0.2218  2 Zn 2.64, 2 Al 2.64, 1 Au 2.76
Au 0.3891 0.3891 0.7782  2 Zn 2.64, 2 Al 2.64, 1 Au 2.76

# 6
This record from Alexandria via LeMat-Bulk describes an optimized crystal structure of K2MnInBr6. The functional is PBE.

Computed properties:
* E: -3.554 eV/atom

abc: 7.5599 7.8524 10.8717
angles: 90.00 90.20 90.00
Closest atoms and distances in Å follow each position.
Positions (direct):
K 0.9780 0.0696 0.7519  7 Br 3.37-3.72
K 0.0220 0.9304 0.2481  7 Br 3.37-3.72
K 0.5220 0.5696 0.7481  7 Br 3.37-3.72
K 0.4780 0.4304 0.2519  7 Br 3.37-3.72
Mn 0.5000 0.0000 0.5000  6 Br 2.66-2.69
Mn 0.0000 0.5000 0.0000  6 Br 2.66-2.69
Br 0.7863 0.8099 0.5425  1 Mn 2.67, 1 In 2.96
Br 0.6885 0.2841 0.5432  1 Mn 2.69, 1 In 2.94
Br 0.3115 0.7159 0.4568  1 Mn 2.69, 1 In 2.94
Br 0.2137 0.1901 0.4575  1 Mn 2.67, 1 In 2.96
Br 0.0855 0.4854 0.7629  1 Mn 2.66, 1 In 2.93
Br 0.8115 0.7841 0.9568  1 Mn 2.69, 1 In 2.94
Br 0.9145 0.5146 0.2371  1 Mn 2.66, 1 In 2.93
Br 0.4145 0.9854 0.7371  1 Mn 2.66, 1 In 2.93
Br 0.2863 0.6901 0.0425  1 Mn 2.67, 1 In 2.96
Br 0.7137 0.3099 0.9575  1 Mn 2.67, 1 In 2.96
Br 0.1885 0.2159 0.0432  1 Mn 2.69, 1 In 2.94
Br 0.5855 0.0146 0.2629  1 Mn 2.66, 1 In 2.93
In 0.0000 0.5000 0.5000  6 Br 2.93-2.96
In 0.5000 0.0000 0.0000  6 Br 2.93-2.96

# 7
This record from Alexandria via LeMat-Bulk describes an optimized crystal structure of K2ThBe2O6. The functional is PBE.

Computed properties:
* E: -6.462 eV/atom

abc: 5.8109 5.8109 6.5901
angles: 90.00 90.00 120.00
Closest atoms and distances in Å follow each position.
Positions (direct):
O 0.1317 0.3703 0.7981  1 Be 1.53
O 0.2386 0.8683 0.7981  1 Be 1.53
O 0.3703 0.2386 0.2019  1 Be 1.53
O 0.6297 0.7614 0.7981  1 Be 1.53
O 0.7614 0.1317 0.2019  1 Be 1.53
O 0.8683 0.6297 0.2019  1 Be 1.53
Be 0.6667 0.3333 0.1896  3 O 1.53
Be 0.3333 0.6667 0.8104  3 O 1.53
K 0.6667 0.3333 0.6505  3 O 2.78, 1 Be 3.04
K 0.3333 0.6667 0.3495  3 O 2.78, 1 Be 3.04
Th 0.0000 0.0000 0.0000  6 O 2.31

# 8
This record from Alexandria via LeMat-Bulk describes an optimized crystal structure of LiZr2GaO. The functional is PBE.

Computed properties:
* E: -6.687 eV/atom

abc: 4.4437 4.4437 3.9463
angles: 90.00 90.00 90.00
Closest atoms and distances in Å follow each position.
Positions (direct):
O 0.0000 0.0000 0.0000  2 Li 1.97
Zr 0.5000 0.0000 0.0000  2 O 2.22
Zr 0.0000 0.5000 0.0000  2 O 2.22
Ga 0.5000 0.5000 0.5000  8 Zr 2.97, 4 Li 3.14
Li 0.0000 0.0000 0.5000  2 O 1.97

# 9
This record from Alexandria via LeMat-Bulk describes an optimized crystal structure of Sr2ZrZn2. The functional is PBE.

Computed properties:
* relative energy among the computed polymorphs: 0.0 meV per atom
* calculated formation energy: 102 meV per atom

abc: 7.4049 7.4049 5.2040
angles: 90.00 90.00 90.00
Closest atoms and distances in Å follow each position.
Positions (direct):
Zn 0.1279 0.3721 0.0000  1 Zn 2.68, 2 Zr 2.91
Zn 0.6279 0.1279 0.0000  1 Zn 2.68, 2 Zr 2.91
Zn 0.3721 0.8721 0.0000  1 Zn 2.68, 2 Zr 2.91
Zn 0.8721 0.6279 0.0000  1 Zn 2.68, 2 Zr 2.91
Zr 0.5000 0.5000 0.0000  4 Zn 2.91
Zr 0.0000 0.0000 0.0000  4 Zn 2.91
Sr 0.8206 0.3206 0.5000  6 Zn 3.29-3.48
Sr 0.3206 0.1794 0.5000  6 Zn 3.29-3.48
Sr 0.6794 0.8206 0.5000  6 Zn 3.29-3.48
Sr 0.1794 0.6794 0.5000  6 Zn 3.29-3.48

# 10
This record from Alexandria via LeMat-Bulk describes an optimized crystal structure of ZrInBr2. The functional is PBE.

Computed properties:
* relative energy among the computed polymorphs: 198.1 meV per atom

abc: 3.6280 3.6280 10.5767
angles: 90.00 90.00 125.03
Closest atoms and distances in Å follow each position.
Positions (direct):
Br 0.0000 0.0000 0.5455  2 Zr 2.74
Br 0.0000 0.0000 0.9545  2 Zr 2.74
In 0.5000 0.5000 0.2500  6 In 3.35-3.63, 4 Br 3.55
Zr 0.5000 0.5000 0.7500  4 Br 2.74

# 11
This record from Alexandria via LeMat-Bulk describes an optimized crystal structure of LaHo2Er. The functional is PBE.

Computed properties:
* relative energy among the computed polymorphs: 19.0 meV per atom
* calculated formation energy: 28 meV per atom

abc: 7.1533 7.1573 12.8803
angles: 123.60 74.06 89.56
Closest atoms and distances in Å follow each position.
Positions (direct):
Ho 0.6900 0.9965 0.8740  4 Er 3.52-3.62, 4 La 3.55-3.61, 4 Ho 3.57-3.60
Ho 0.1869 0.5016 0.8741  4 Er 3.54-3.62, 4 La 3.54-3.61, 4 Ho 3.58-3.60
Ho 0.5634 0.5005 0.6238  4 Ho 3.54-3.58, 4 La 3.55-3.61, 4 Er 3.56-3.58
Ho 0.0630 0.9971 0.6242  4 Er 3.54-3.62, 4 Ho 3.55-3.60, 4 La 3.57-3.61
Ho 0.8131 0.4984 0.1259  4 Er 3.54-3.62, 4 La 3.54-3.61, 4 Ho 3.58-3.60
Ho 0.4366 0.4995 0.3762  4 Ho 3.54-3.58, 4 La 3.55-3.61, 4 Er 3.56-3.58
Ho 0.3100 0.0035 0.1260  4 Er 3.52-3.62, 4 La 3.55-3.61, 4 Ho 3.57-3.60
Ho 0.9370 0.0029 0.3758  4 Er 3.54-3.62, 4 Ho 3.55-3.60, 4 La 3.57-3.61
La 0.4383 0.0005 0.3728  8 Ho 3.55-3.61, 2 Er 3.59, 2 La 3.61-3.63
La 0.6903 0.5041 0.8768  8 Ho 3.54-3.61, 2 Er 3.57-3.58, 2 La 3.60-3.61
La 0.5617 0.9995 0.6272  8 Ho 3.55-3.61, 2 Er 3.59, 2 La 3.61-3.63
La 0.3097 0.4959 0.1232  8 Ho 3.54-3.61, 2 Er 3.57-3.58, 2 La 3.60-3.61
Er 0.1833 0.9973 0.8759  2 Er 3.52-3.54, 8 Ho 3.54-3.62, 2 La 3.57-3.59
Er 0.9380 0.4952 0.3739  8 Ho 3.52-3.62, 2 Er 3.54-3.56, 2 La 3.58-3.59
Er 0.0620 0.5048 0.6261  8 Ho 3.52-3.62, 2 Er 3.54-3.56, 2 La 3.58-3.59
Er 0.8167 0.0027 0.1241  2 Er 3.52-3.54, 8 Ho 3.54-3.62, 2 La 3.57-3.59

# 12
This record from Alexandria via LeMat-Bulk describes an optimized crystal structure of CsGeCl2. The functional is PBE.

Computed properties:
* relative energy among the computed polymorphs: 206.7 meV per atom

abc: 5.5635 5.5635 5.5635
angles: 60.00 60.00 60.00
Closest atoms and distances in Å follow each position.
Positions (direct):
Ge 0.0000 0.0000 0.0000  8 Cl 3.41
Cs 0.5000 0.5000 0.5000  8 Cl 3.41
Cl 0.7500 0.7500 0.7500  4 Ge 3.41, 4 Cs 3.41
Cl 0.2500 0.2500 0.2500  4 Ge 3.41, 4 Cs 3.41